BaTe2P meta-GGA SCAN PBEsol geometry; symmetry = I4/mmm; Fermi-level density of states = 0.80 states/eV/atom; formation energy (no corrections) = -0.37 eV per atom; calculated density = 6.3 g/cm3
1.0
-2.258 2.258 5.511
2.258 -2.258 5.511
2.258 2.258 -5.511
Ba Te P
1 2 1
Direct
0.000 0.000 0.000
0.250 0.750 0.500
0.750 0.250 0.500
0.500 0.500 0.000